1.
A plane-wave DFT calculation with GGA-PBE was carried out for a relaxed structure of YGeMo3.

Summary:
Polymorph energy (0 for the lowest one) = 0 meV/atom
Calculated formation energy = 4.331 eV per formula unit
Calculated density = 7.12 g/cm³
Crystal system = cubic

Cell and atoms, written as CIF:
```
data_YGeMo3
_chemical_formula_sum 'Y1 Ge1 Mo3'
_cell_length_a 4.7155
_cell_length_b 4.7155
_cell_length_c 4.7155
_cell_angle_alpha 90.00
_cell_angle_beta 90.00
_cell_angle_gamma 90.00
_symmetry_space_group_name_H-M 'P m -3 m'
_symmetry_Int_Tables_number 221
_symmetry_space_group_name_Hall '-P 4 2 3'
loop_
_atom_site_label
_atom_site_type_symbol
_atom_site_fract_x
_atom_site_fract_y
_atom_site_fract_z
Y1 Y 0.0000 0.0000 0.0000
Ge1 Ge 0.5000 0.5000 0.5000
Mo1 Mo 0.0000 0.5000 0.5000
```

---

2.
A plane-wave DFT calculation with GGA-PBE was carried out for a relaxed structure of YGeMo3.

Summary:
Polymorph energy (0 for the lowest one) = 1663 meV/atom
Calculated formation energy = 12.645 eV per formula unit
Calculated density = 6.56 g/cm³
Crystal system = cubic

Cell and atoms, written as CIF:
```
data_YGeMo3
_chemical_formula_sum 'Y1 Ge1 Mo3'
_cell_length_a 4.8461
_cell_length_b 4.8461
_cell_length_c 4.8461
_cell_angle_alpha 90.00
_cell_angle_beta 90.00
_cell_angle_gamma 90.00
_symmetry_space_group_name_H-M 'P m -3 m'
_symmetry_Int_Tables_number 221
_symmetry_space_group_name_Hall '-P 4 2 3'
loop_
_atom_site_label
_atom_site_type_symbol
_atom_site_fract_x
_atom_site_fract_y
_atom_site_fract_z
Y1 Y 0.0000 0.0000 0.0000
Ge1 Ge 0.5000 0.5000 0.5000
Mo1 Mo 0.0000 0.0000 0.5000
```

---

3.
A plane-wave DFT calculation with GGA-PBE was carried out for a relaxed structure of YGe2Mo2.

Summary:
Polymorph energy (0 for the lowest one) = 184 meV/atom
Calculated formation energy = -0.840 eV per formula unit
Calculated density = 7.95 g/cm³
Crystal system = tetragonal

Cell and atoms, written as CIF:
```
data_YGe2Mo2
_chemical_formula_sum 'Y2 Ge4 Mo4'
_cell_length_a 7.4049
_cell_length_b 7.4049
_cell_length_c 3.2474
_cell_angle_alpha 90.00
_cell_angle_beta 90.00
_cell_angle_gamma 90.00
_symmetry_space_group_name_H-M 'P 4/m b m'
_symmetry_Int_Tables_number 127
_symmetry_space_group_name_Hall '-P 4 2ab'
loop_
_atom_site_label
_atom_site_type_symbol
_atom_site_fract_x
_atom_site_fract_y
_atom_site_fract_z
Y1 Y 0.0000 0.0000 0.0000
Ge1 Ge 0.1403 0.3597 0.0000
Mo1 Mo 0.1457 0.6457 0.5000
```

---

4.
A plane-wave DFT calculation with GGA-PBE was carried out for a relaxed structure of YGe3Mo.

Summary:
Polymorph energy (0 for the lowest one) = 0 meV/atom
Calculated formation energy = 0.423 eV per formula unit
Calculated density = 5.80 g/cm³
Crystal system = cubic

Cell and atoms, written as CIF:
```
data_YGe3Mo
_chemical_formula_sum 'Y1 Ge3 Mo1'
_cell_length_a 4.8660
_cell_length_b 4.8660
_cell_length_c 4.8660
_cell_angle_alpha 90.00
_cell_angle_beta 90.00
_cell_angle_gamma 90.00
_symmetry_space_group_name_H-M 'P m -3 m'
_symmetry_Int_Tables_number 221
_symmetry_space_group_name_Hall '-P 4 2 3'
loop_
_atom_site_label
_atom_site_type_symbol
_atom_site_fract_x
_atom_site_fract_y
_atom_site_fract_z
Y1 Y 0.0000 0.0000 0.0000
Ge1 Ge 0.0000 0.5000 0.5000
Mo1 Mo 0.5000 0.5000 0.5000
```

---

5.
A plane-wave DFT calculation with GGA-PBE was carried out for a relaxed structure of YGe2Mo2.

Summary:
Polymorph energy (0 for the lowest one) = 0 meV/atom
Calculated formation energy = -1.758 eV per formula unit
Calculated density = 7.58 g/cm³
Crystal system = tetragonal

Cell and atoms, written as CIF:
```
data_YGe2Mo2
_chemical_formula_sum 'Y2 Ge4 Mo4'
_cell_length_a 4.0069
_cell_length_b 4.0069
_cell_length_c 11.6219
_cell_angle_alpha 90.00
_cell_angle_beta 90.00
_cell_angle_gamma 90.00
_symmetry_space_group_name_H-M 'I 4/m m m'
_symmetry_Int_Tables_number 139
_symmetry_space_group_name_Hall '-I 4 2'
loop_
_atom_site_label
_atom_site_type_symbol
_atom_site_fract_x
_atom_site_fract_y
_atom_site_fract_z
Y1 Y 0.0000 0.0000 0.0000
Ge1 Ge 0.0000 0.0000 0.3919
Mo1 Mo 0.0000 0.5000 0.2500
```

---

6.
A plane-wave DFT calculation with GGA-PBE was carried out for a relaxed structure of YGeMo2.

Summary:
Calculated formation energy = 1.463 eV per formula unit
Calculated density = 6.96 g/cm³
Crystal system = tetragonal

Cell and atoms, written as CIF:
```
data_YGeMo2
_chemical_formula_sum 'Y4 Ge4 Mo8'
_cell_length_a 4.1915
_cell_length_b 4.1915
_cell_length_c 19.2079
_cell_angle_alpha 90.00
_cell_angle_beta 90.00
_cell_angle_gamma 90.00
_symmetry_space_group_name_H-M 'I -4 2 d'
_symmetry_Int_Tables_number 122
_symmetry_space_group_name_Hall 'I -4 2bw'
loop_
_atom_site_label
_atom_site_type_symbol
_atom_site_fract_x
_atom_site_fract_y
_atom_site_fract_z
Y1 Y 0.0000 0.0000 0.0000
Ge1 Ge 0.0000 0.0000 0.5000
Mo1 Mo 0.1516 0.2500 0.6250
```

---

7.
A plane-wave DFT calculation with GGA-PBE was carried out for a relaxed structure of ZnGe3Mo.

Summary:
Polymorph energy (0 for the lowest one) = 0 meV/atom
Calculated formation energy = 1.843 eV per formula unit
Calculated density = 5.32 g/cm³
Crystal system = cubic

Cell and atoms, written as CIF:
```
data_ZnGe3Mo
_chemical_formula_sum 'Zn1 Ge3 Mo1'
_cell_length_a 4.9116
_cell_length_b 4.9116
_cell_length_c 4.9116
_cell_angle_alpha 90.00
_cell_angle_beta 90.00
_cell_angle_gamma 90.00
_symmetry_space_group_name_H-M 'P m -3 m'
_symmetry_Int_Tables_number 221
_symmetry_space_group_name_Hall '-P 4 2 3'
loop_
_atom_site_label
_atom_site_type_symbol
_atom_site_fract_x
_atom_site_fract_y
_atom_site_fract_z
Zn1 Zn 0.0000 0.0000 0.0000
Ge1 Ge 0.0000 0.5000 0.5000
Mo1 Mo 0.5000 0.5000 0.5000
```

---

8.
A plane-wave DFT calculation with GGA-PBE was carried out for a relaxed structure of Zn2Ge2Mo.

Summary:
Calculated formation energy = 1.166 eV per formula unit
Calculated density = 7.56 g/cm³
Crystal system = tetragonal

Cell and atoms, written as CIF:
```
data_Zn2Ge2Mo
_chemical_formula_sum 'Zn4 Ge4 Mo2'
_cell_length_a 6.7247
_cell_length_b 6.7247
_cell_length_c 3.6128
_cell_angle_alpha 90.00
_cell_angle_beta 90.00
_cell_angle_gamma 90.00
_symmetry_space_group_name_H-M 'P 4/m b m'
_symmetry_Int_Tables_number 127
_symmetry_space_group_name_Hall '-P 4 2ab'
loop_
_atom_site_label
_atom_site_type_symbol
_atom_site_fract_x
_atom_site_fract_y
_atom_site_fract_z
Zn1 Zn 0.1595 0.3405 0.0000
Ge1 Ge 0.1449 0.6449 0.5000
Mo1 Mo 0.0000 0.0000 0.5000
```

---

9.
A plane-wave DFT calculation with GGA-PBE was carried out for a relaxed structure of ZnGe2Mo.

Summary:
Calculated formation energy = 2.953 eV per formula unit
Calculated density = 5.58 g/cm³
Crystal system = tetragonal

Cell and atoms, written as CIF:
```
data_ZnGe2Mo
_chemical_formula_sum 'Zn4 Ge8 Mo4'
_cell_length_a 6.1702
_cell_length_b 6.1702
_cell_length_c 9.5952
_cell_angle_alpha 90.00
_cell_angle_beta 90.00
_cell_angle_gamma 90.00
_symmetry_space_group_name_H-M 'I -4 2 d'
_symmetry_Int_Tables_number 122
_symmetry_space_group_name_Hall 'I -4 2bw'
loop_
_atom_site_label
_atom_site_type_symbol
_atom_site_fract_x
_atom_site_fract_y
_atom_site_fract_z
Zn1 Zn 0.0000 0.0000 0.0000
Ge1 Ge 0.2417 0.2500 0.6250
Mo1 Mo 0.0000 0.0000 0.5000
```

---

10.
A plane-wave DFT calculation with GGA-PBE was carried out for a relaxed structure of ZnGe2Mo.

Summary:
Calculated formation energy = 0.468 eV per formula unit
Calculated density = 7.08 g/cm³
Crystal system = trigonal

Cell and atoms, written as CIF:
```
data_ZnGe2Mo
_chemical_formula_sum 'Zn3 Ge6 Mo3'
_cell_length_a 3.0892
_cell_length_b 3.0892
_cell_length_c 26.1133
_cell_angle_alpha 90.00
_cell_angle_beta 90.00
_cell_angle_gamma 120.00
_symmetry_space_group_name_H-M 'R -3 m'
_symmetry_Int_Tables_number 166
_symmetry_space_group_name_Hall '-R 3 2"'
loop_
_atom_site_label
_atom_site_type_symbol
_atom_site_fract_x
_atom_site_fract_y
_atom_site_fract_z
Zn1 Zn 0.0000 0.0000 0.0000
Ge1 Ge 0.0000 0.0000 0.0940
Mo1 Mo 0.0000 0.0000 0.5000
```

---

| no. | calculated total energy (eV per atom) |
| --- | --- |
| 1 | -7.8487 |
| 2 | -6.1860 |
| 3 | -7.6402 |
| 4 | -6.1449 |
| 5 | -7.8238 |
| 6 | -7.8202 |
| 7 | -4.8228 |
| 8 | -4.2896 |
| 9 | -4.5968 |
| 10 | -5.2179 |